LaTb2Tm4: optimized geometry, PBE.

```
LaTb2Tm4
1.0
0.0822 -7.6253 -5.1231
8.3850 -0.8972 0.0147
-6.4294 -2.3981 4.9199
La Tm Tb
2 8 4
Direct
0.1259 0.5789 0.4894
0.9099 0.3820 0.0066
0.4838 0.6722 0.7271
0.0557 0.9631 0.4402
0.4118 0.7221 0.3459
0.2734 0.1475 0.9169
0.7619 0.8163 0.5853
0.9831 0.0030 0.0627
0.8363 0.4368 0.6298
0.3409 0.0984 0.2954
0.1975 0.5293 0.8709
0.6954 0.8641 0.2032
0.5502 0.2926 0.7703
0.6242 0.2435 0.1563
```

Calculated values
- Distance to the lowest polymorph of the same formula: 0 meV/atom
- Energy relative to the elements: 0.01 eV per atom
- Spin magnetization: 0.0 Bohr magnetons per cell
- Uncorrected energy: -4.57 eV/atom
- Fermi-level density of states: 23.76 states/eV per cell